# 1
! PBE BeAs, relaxed; values from VASP
&SYSTEM
  ibrav = 0, nat = 12, ntyp = 2
/
ATOMIC_SPECIES
Be 9.01 Be.upf
As 74.92 As.upf
ATOMIC_POSITIONS crystal
Be 0.0000 0.5000 0.2500
Be 0.5000 0.7500 0.0000
Be 0.0000 0.5000 0.7500
Be 0.5000 0.2500 0.0000
Be 0.2500 0.0000 0.5000
Be 0.7500 0.0000 0.5000
As 0.5000 0.0000 0.2500
As 0.7500 0.5000 0.0000
As 0.0000 0.7500 0.5000
As 0.0000 0.2500 0.5000
As 0.2500 0.5000 0.0000
As 0.5000 0.0000 0.7500
CELL_PARAMETERS angstrom
6.3605 0.0000 0.0000
0.0000 6.3605 0.0000
0.0000 0.0000 6.3605
! Total magnetic moment in μB per formula unit: 0.00
! DOS at the Fermi energy in states/eV/f.u.: 2.0
! Formation energy from the elements in meV per atom: 272
! Energy relative to the lowest polymorph listed for this composition in meV/atom: 270

***

# 2
! PBE Be6As7, relaxed; values from VASP
&SYSTEM
  ibrav = 0, nat = 13, ntyp = 2
/
ATOMIC_SPECIES
Be 9.01 Be.upf
As 74.92 As.upf
ATOMIC_POSITIONS crystal
Be 0.6576 0.6576 0.6576
Be 0.9466 0.9466 0.9466
Be 0.8360 0.8360 0.8360
Be 0.0534 0.0534 0.0534
Be 0.1640 0.1640 0.1640
Be 0.3424 0.3424 0.3424
As 0.9478 0.4059 0.4059
As 0.5000 0.5000 0.5000
As 0.5941 0.0522 0.5941
As 0.4059 0.4059 0.9478
As 0.4059 0.9478 0.4059
As 0.0522 0.5941 0.5941
As 0.5941 0.5941 0.0522
CELL_PARAMETERS angstrom
-6.5210 3.9444 1.4471
-5.4780 -0.4487 5.4742
-2.3088 4.6990 5.7241
! Total magnetic moment in μB per formula unit: 0.00
! DOS at the Fermi energy in states/eV/f.u.: 6.8
! Formation energy from the elements in meV per atom: 692

***

# 3
! PBE BeAs, relaxed; values from VASP
&SYSTEM
  ibrav = 0, nat = 2, ntyp = 2
/
ATOMIC_SPECIES
As 74.92 As.upf
Be 9.01 Be.upf
ATOMIC_POSITIONS crystal
As 0.0000 0.0000 0.0000
Be 0.5000 0.5000 0.5000
CELL_PARAMETERS angstrom
-1.1426 -0.0612 -2.7832
-0.8245 -2.4503 1.5399
-2.7748 1.6270 1.1034
! Total magnetic moment in μB per formula unit: 0.00
! DOS at the Fermi energy in states/eV/f.u.: 0.6
! Formation energy from the elements in meV per atom: 467
! Energy relative to the lowest polymorph listed for this composition in meV/atom: 464